Here is MnZnPdW2 after structural relaxation from Alexandria via LeMat-Bulk. Energies are from PBE.

Lattice parameters (Å, degrees): 4.4205 4.6519 4.4205 90.00 90.00 90.00
With the nearest neighbours (Å) after each atom.
Element x y z (fractional)
1 W 0.5000 0.0000 0.0000  2 Mn 2.21
2 W 0.0000 0.0000 0.5000  2 Mn 2.21
3 Mn 0.0000 0.0000 0.0000  4 W 2.21, 2 Pd 2.33
4 Pd 0.0000 0.5000 0.0000  2 Mn 2.33
5 Zn 0.5000 0.5000 0.5000  4 Pd 3.13, 8 W 3.21

Properties
Final energy in eV/atom: -6.999
Density of states at the Fermi level in states/eV per atom: 1.037